## Pm2SeCl2 (GGA-PBE)

Data for Pm2SeCl2 after structural relaxation.

abc: 4.131 4.131 10.351
angles: 78.49 78.49 60.00
Atoms (fractional coordinates):
Cl 0.775 0.775 0.676
Cl 0.225 0.225 0.324
Pm 0.387 0.387 0.839
Pm 0.613 0.613 0.161
Se 0.000 0.000 0.000

Calculated values
The theoretical density is 4.91 g cm⁻³. The calculation puts the magnetic moment at 0.00 μB per atom. The density of states at the Fermi level comes out at 2.73 states/eV/cell. As for the formation energy without anion corrections: -1955 meV per atom. As for the crystal system: trigonal. The calculation puts the electronic total energy at -5.2913 eV/atom.

## Pm2SeCl3 (GGA-PBE)

Data for Pm2SeCl3 after structural relaxation.

abc: 4.290 8.485 10.966
angles: 81.43 78.72 75.36
Atoms (fractional coordinates):
Cl 0.337 0.315 0.011
Cl 0.932 0.864 0.272
Cl 0.232 0.126 0.411
Cl 0.663 0.685 0.989
Cl 0.068 0.136 0.728
Cl 0.768 0.874 0.589
Se 0.386 0.546 0.683
Se 0.614 0.454 0.317
Pm 0.872 0.420 0.835
Pm 0.128 0.580 0.165
Pm 0.605 0.237 0.553
Pm 0.395 0.763 0.447

Calculated values
The theoretical density is 4.19 g cm⁻³. The calculation puts the magnetic moment at 0.00 μB per atom. The density of states at the Fermi level comes out at 4.06 states/eV/cell. As for the formation energy without anion corrections: -2000 meV per atom. As for the crystal system: monoclinic. The calculation puts the electronic total energy at -5.0881 eV/atom.

## Pm3Se3Cl (GGA-PBE)

Data for Pm3Se3Cl after structural relaxation.

abc: 6.221 6.221 6.221
angles: 110.13 110.13 110.13
Atoms (fractional coordinates):
Se 0.099 0.538 0.538
Se 0.538 0.538 0.099
Se 0.538 0.099 0.538
Pm 0.046 0.046 0.554
Pm 0.046 0.554 0.046
Pm 0.554 0.046 0.046
Cl 0.979 0.979 0.979

Calculated values
The theoretical density is 6.50 g cm⁻³. The calculation puts the magnetic moment at 0.00 μB per atom. The density of states at the Fermi level comes out at 1.69 states/eV/cell. As for the formation energy without anion corrections: -1682 meV per atom. As for the crystal system: trigonal. The calculation puts the electronic total energy at -5.4750 eV/atom.

## Pm2SeCl (GGA-PBE)

Data for Pm2SeCl after structural relaxation.

abc: 3.617 5.062 5.062
angles: 90.00 90.00 90.00
Atoms (fractional coordinates):
Se 0.500 0.500 0.500
Cl 0.500 0.000 0.000
Pm 0.000 0.000 0.500
Pm 0.000 0.500 0.000

Calculated values
The theoretical density is 7.25 g cm⁻³. For the polymorph energy (0 for the lowest one), the calculation gives 131 meV/atom. The calculation puts the magnetic moment at 0.00 μB per atom. The density of states at the Fermi level comes out at 2.54 states/eV/cell. As for the formation energy without anion corrections: -1416 meV per atom. As for the crystal system: tetragonal. The calculation puts the electronic total energy at -5.1243 eV/atom.

## Pm3SiSeCl (GGA-PBE)

Data for Pm3SiSeCl after structural relaxation.

abc: 4.152 8.557 10.168
angles: 91.49 90.00 90.00
Site moments in Bohr magnetons follow the coordinates.
Atoms (fractional coordinates):
Pm 0.250 0.130 0.864  0.01
Pm 0.250 0.660 0.420  0.41
Pm 0.750 0.381 0.145  0.05
Pm 0.750 0.870 0.136  0.01
Pm 0.750 0.340 0.580  0.41
Pm 0.250 0.619 0.855  0.05
Si 0.250 0.627 0.144  0.01
Si 0.750 0.373 0.856  0.01
Se 0.250 0.126 0.156  0.01
Se 0.750 0.874 0.844  0.01
Cl 0.250 0.124 0.581  0.01
Cl 0.750 0.876 0.419  0.01

Calculated values
The theoretical density is 5.31 g cm⁻³. The calculation puts the magnetic moment at 0.20 μB per atom. The density of states at the Fermi level comes out at 5.10 states/eV/cell. As for the formation energy without anion corrections: -1258 meV per atom. As for the crystal system: monoclinic. The calculation puts the electronic total energy at -5.4253 eV/atom.

## Pm6Si2SeCl3 (GGA-PBE)

Data for Pm6Si2SeCl3 after structural relaxation.

abc: 4.207 8.367 9.385
angles: 102.66 102.95 90.00
Atoms (fractional coordinates):
Pm 0.666 0.104 0.331
Pm 0.327 0.429 0.655
Pm 0.990 0.756 0.980
Pm 0.673 0.571 0.345
Pm 0.334 0.896 0.669
Pm 0.010 0.244 0.020
Si 0.833 0.666 0.666
Si 0.167 0.334 0.334
Cl 0.167 0.834 0.333
Cl 0.833 0.166 0.667
Cl 0.500 0.500 0.000
Se 0.500 0.000 0.000

Calculated values
The theoretical density is 5.88 g cm⁻³. The calculation puts the magnetic moment at 0.00 μB per atom. The density of states at the Fermi level comes out at 5.56 states/eV/cell. As for the formation energy without anion corrections: -1334 meV per atom. As for the crystal system: monoclinic. The calculation puts the electronic total energy at -5.3647 eV/atom.

## Pm4SiSe2Cl (GGA-PBE)

Data for Pm4SiSe2Cl after structural relaxation.

abc: 4.182 7.327 7.231
angles: 109.02 90.00 90.00
Atoms (fractional coordinates):
Pm 0.000 0.267 0.759
Pm 0.500 0.729 0.746
Pm 0.000 0.733 0.241
Pm 0.500 0.271 0.254
Se 0.500 0.000 0.500
Se 0.000 0.500 0.500
Cl 0.000 0.000 0.000
Si 0.500 0.500 0.000

Calculated values
The theoretical density is 6.35 g cm⁻³. The calculation puts the magnetic moment at 0.00 μB per atom. The density of states at the Fermi level comes out at 3.81 states/eV/cell. As for the formation energy without anion corrections: -1512 meV per atom. As for the crystal system: monoclinic. The calculation puts the electronic total energy at -5.6667 eV/atom.

## Pm6Si2Se3Cl (GGA-PBE)

Data for Pm6Si2Se3Cl after structural relaxation.

abc: 4.190 8.486 9.416
angles: 102.53 102.85 90.00
Atoms (fractional coordinates):
Se 0.838 0.163 0.677
Se 0.500 0.500 0.000
Se 0.162 0.837 0.323
Pm 0.008 0.269 0.016
Pm 0.669 0.578 0.339
Pm 0.673 0.102 0.346
Pm 0.331 0.422 0.661
Pm 0.992 0.731 0.984
Pm 0.327 0.898 0.654
Si 0.834 0.667 0.667
Si 0.166 0.333 0.333
Cl 0.500 0.000 0.000

Calculated values
The theoretical density is 6.25 g cm⁻³. The calculation puts the magnetic moment at 0.00 μB per atom. The density of states at the Fermi level comes out at 4.05 states/eV/cell. As for the formation energy without anion corrections: -1463 meV per atom. As for the crystal system: monoclinic. The calculation puts the electronic total energy at -5.7673 eV/atom.

## Pm4SiSeCl2 (GGA-PBE)

Data for Pm4SiSeCl2 after structural relaxation.

abc: 4.208 7.177 7.327
angles: 70.09 90.00 90.00
Atoms (fractional coordinates):
Pm 0.500 0.728 0.240
Pm 0.000 0.725 0.772
Pm 0.500 0.272 0.760
Pm 0.000 0.275 0.228
Si 0.500 0.500 0.000
Cl 0.000 0.000 0.000
Cl 0.500 0.000 0.500
Se 0.000 0.500 0.500

Calculated values
The theoretical density is 6.05 g cm⁻³. The calculation puts the magnetic moment at 0.00 μB per atom. The density of states at the Fermi level comes out at 3.27 states/eV/cell. As for the formation energy without anion corrections: -1410 meV per atom. As for the crystal system: monoclinic. The calculation puts the electronic total energy at -5.3609 eV/atom.

## TbPmSe2Cl (GGA-PBE)

Data for TbPmSe2Cl after structural relaxation.

abc: 4.163 4.163 14.083
angles: 90.00 90.00 90.00
Atoms (fractional coordinates):
Se 0.500 0.000 0.882
Se 0.000 0.500 0.704
Se 0.500 0.000 0.296
Se 0.000 0.500 0.118
Cl 0.500 0.500 0.500
Cl 0.000 0.000 0.500
Pm 0.000 0.500 0.355
Pm 0.500 0.000 0.645
Tb 0.500 0.000 0.090
Tb 0.000 0.500 0.910

Calculated values
The theoretical density is 6.77 g cm⁻³. The calculation puts the magnetic moment at 0.00 μB per atom. The density of states at the Fermi level comes out at 3.19 states/eV/cell. As for the formation energy without anion corrections: -1881 meV per atom. As for the crystal system: tetragonal. The calculation puts the electronic total energy at -5.5208 eV/atom.

## Pm3TlSeCl (GGA-PBE)

Data for Pm3TlSeCl after structural relaxation.

abc: 4.053 9.019 11.594
angles: 122.29 90.00 90.00
Atoms (fractional coordinates):
Pm 0.250 0.073 0.903
Pm 0.250 0.677 0.512
Pm 0.250 0.487 0.837
Pm 0.750 0.323 0.488
Pm 0.750 0.513 0.163
Pm 0.750 0.927 0.097
Tl 0.750 0.715 0.759
Tl 0.250 0.285 0.241
Se 0.750 0.270 0.862
Se 0.250 0.730 0.138
Cl 0.250 0.181 0.564
Cl 0.750 0.819 0.436

Calculated values
The theoretical density is 6.99 g cm⁻³. The calculation puts the magnetic moment at 0.00 μB per atom. The density of states at the Fermi level comes out at 7.24 states/eV/cell. As for the formation energy without anion corrections: -1197 meV per atom. As for the crystal system: monoclinic. The calculation puts the electronic total energy at -4.8547 eV/atom.

## PmTmSe2Cl (GGA-PBE)

Data for PmTmSe2Cl after structural relaxation.

abc: 4.133 4.133 13.989
angles: 90.00 90.00 90.00
Atoms (fractional coordinates):
Se 0.500 0.000 0.884
Se 0.000 0.500 0.707
Se 0.500 0.000 0.293
Se 0.000 0.500 0.116
Pm 0.000 0.500 0.353
Pm 0.500 0.000 0.647
Tm 0.500 0.000 0.089
Tm 0.000 0.500 0.911
Cl 0.500 0.500 0.500
Cl 0.000 0.000 0.500

Calculated values
The theoretical density is 7.05 g cm⁻³. The calculation puts the magnetic moment at 0.00 μB per atom. The density of states at the Fermi level comes out at 3.17 states/eV/cell. As for the formation energy without anion corrections: -1833 meV per atom. As for the crystal system: tetragonal. The calculation puts the electronic total energy at -5.4409 eV/atom.